A geometry-optimized CaLaFeBiO6 structure. Source: Alexandria via LeMat-Bulk, functional GGA+U.

Uncorrected energy ... -6.544 eV/atom
Space-group type ... No. 216

Cell and atoms, written as CIF:
```
data_CaLaFeBiO6
_chemical_formula_sum 'Ca1 La1 Fe1 Bi1 O6'
_cell_length_a 5.845
_cell_length_b 5.845
_cell_length_c 5.845
_cell_angle_alpha 60.00
_cell_angle_beta 60.00
_cell_angle_gamma 60.00
_symmetry_space_group_name_H-M 'P 1'
_symmetry_Int_Tables_number 1
loop_
_symmetry_equiv_pos_as_xyz
'x,y,z'
loop_
_atom_site_label
_atom_site_type_symbol
_atom_site_fract_x
_atom_site_fract_y
_atom_site_fract_z
Ca1 Ca 0.000 0.000 0.000
La1 La 0.500 0.500 0.500
Fe1 Fe 0.250 0.250 0.250
Bi1 Bi 0.750 0.750 0.750
O1 O 0.012 0.012 0.488
O2 O 0.012 0.488 0.012
O3 O 0.012 0.488 0.488
O4 O 0.488 0.012 0.012
O5 O 0.488 0.012 0.488
O6 O 0.488 0.488 0.012
```